1.
PBE with a Hubbard U LiNiW2O8, optimized geometry; electronic total energy = -6.58 eV per atom; symmetry = P1
1.0
-3.3683 3.5681 -1.3685
0.0937 -1.4175 5.5707
4.3389 3.7431 -1.1279
W O Ni Li
2 8 1 1
direct
0.7460 0.4897 0.6637
0.2672 0.5345 0.3424
0.7319 0.2537 0.8058
0.6771 0.7212 0.4562
0.3212 0.2741 0.5148
0.8286 0.2875 0.3247
0.1805 0.7156 0.6737
0.2481 0.7452 0.1785
0.7101 0.7539 0.9261
0.2718 0.2201 0.0991
0.5104 0.0066 0.9964
0.9620 0.9255 0.2727


2.
PBE with a Hubbard U Li3Ni2WO6, optimized geometry; electronic total energy = -5.74 eV per atom; symmetry = C2/m
1.0
-3.6093 2.9630 2.2350
-0.9679 -2.0988 -4.6325
-0.3441 -4.2662 3.0122
O Li Ni W
6 3 2 1
direct
0.0823 0.3993 0.2354
0.7553 0.7553 0.2319
0.6007 0.9177 0.7646
0.2447 0.2447 0.7681
0.3993 0.0823 0.2354
0.9177 0.6007 0.7646
0.5000 0.5000 0.5000
0.1741 0.8259 0.5000
0.8259 0.1741 0.5000
0.6662 0.3338 0.0000
0.3338 0.6662 0.0000
0.0000 0.0000 0.0000